Below is TiVIr2F after structural relaxation, with properties calculated at the PBE with a Hubbard U level.

The density of states at the Fermi level comes out at 4.31 states/eV/cell. The value obtained for the total energy is -6.6133 eV/atom. The calculation puts the density at 10.84 g cm⁻³. As for the space group: P4/mmm (123). For the magnetic moment, the calculation gives 2.7 μB/f.u.

```
TiVIr2F
1.0
-3.1966 3.1280 0.3828
-2.5441 -2.4156 -1.5060
-0.9917 -1.5161 4.1070
Ir Ti F V
2 1 1 1
direct
0.5000 0.0000 0.0000 Ir
0.0000 0.0000 0.5000 Ir
0.5000 0.5000 0.5000 Ti
0.0000 0.0000 0.0000 F
0.0000 0.5000 0.0000 V
```